# LaDySi | Alexandria | PBE-GGA | optimized geometry
data_LaDySi
_chemical_formula_sum 'La4 Dy4 Si4'
_cell_length_a 7.0516
_cell_length_b 7.0516
_cell_length_c 7.0516
_cell_angle_alpha 90.00
_cell_angle_beta 90.00
_cell_angle_gamma 90.00
_space_group_name_H-M_alt 'F -4 3 m'
_space_group_IT_number 216
_space_group_name_Hall 'F -4 2 3'
loop_
_atom_site_label
_atom_site_type_symbol
_atom_site_fract_x
_atom_site_fract_y
_atom_site_fract_z
La1 La 0.0000 0.0000 0.0000
Dy1 Dy 0.0000 0.0000 0.5000
Si1 Si 0.2500 0.2500 0.7500
# **Formation energy from raw total energies**: -0.4500 eV/atom
# **M_tot**: 0.00 μB/f.u.